4
Lattice="2.843 0.000 0.000 0.000 3.828 0.000 0.000 0.000 6.006" Properties=species:S:1:pos:R:3 comment="IrRhAu2 | the Alexandria database | PBE | optimized geometry" delta_e_f_ev_per_atom=0.23 e_tot_ha_per_atom=-0.2009 sg="No. 25" polymorph_energy_mev_per_atom=84 n_ef_per_ev_fu=4.877 pbc="T T T"
Ir 0.000 0.000 0.000
Rh 1.422 1.914 1.148
Au 0.000 0.000 2.792
Au 1.422 1.914 4.366

10
Lattice="2.700 -10.007 0.000 2.700 10.007 0.000 0.000 0.000 5.394" Properties=species:S:1:pos:R:3 comment="Nd3ZnIn | the Alexandria database | PBE | optimized geometry" delta_e_f_ev_per_atom=-0.28 e_tot_ha_per_atom=-0.1450 sg="No. 63" polymorph_energy_mev_per_atom=0 n_ef_per_ev_fu=5.858 pbc="T T T"
Nd 2.700 8.756 4.046
Nd 2.700 5.025 4.046
Nd 2.700 1.301 4.046
Nd 2.700 -1.301 1.349
Nd 2.700 -5.025 1.349
Nd 2.700 -8.756 1.349
Zn 2.700 3.068 1.349
Zn 2.700 -3.068 4.046
In 2.700 6.884 1.349
In 2.700 -6.884 4.046

4
Lattice="3.871 0.000 0.000 0.000 3.871 0.000 0.000 0.000 4.629" Properties=species:S:1:pos:R:3 comment="Ag2RhSe | the Alexandria database | PBE | optimized geometry" e_tot_ha_per_atom=-0.1444 sg="No. 123" formation_energy_uncorrected_ev_per_atom=0.204 n_ef_per_ev_fu=4.907 pbc="T T T"
Ag 0.000 1.935 0.000
Ag 1.935 0.000 0.000
Rh 0.000 0.000 2.314
Se 1.935 1.935 2.314

4
Lattice="-2.043 2.043 4.240 2.043 -2.043 4.240 2.043 2.043 -4.240" Properties=species:S:1:pos:R:3 comment="MnHg2Ir | the Alexandria database | PBE | optimized geometry" delta_e_f_ev_per_atom=0.36 e_tot_ha_per_atom=-0.1580 sg="No. 119" polymorph_energy_mev_per_atom=146 n_ef_per_ev_fu=1.233 pbc="T T T"
Mn 0.000 0.000 0.000
Hg 2.043 0.000 2.120
Hg 0.000 0.000 4.240
Ir 0.000 2.043 2.120

3
Lattice="-1.811 1.811 6.653 1.811 -1.811 6.653 1.811 1.811 -6.653" Properties=species:S:1:pos:R:3 comment="SrErPt | the Alexandria database | PBE | optimized geometry" delta_e_f_ev_per_atom=-0.72 e_tot_ha_per_atom=-0.1771 sg="No. 107" polymorph_energy_mev_per_atom=121 n_ef_per_ev_fu=2.016 pbc="T T T"
Sr 0.000 0.000 0.000
Er 0.000 0.000 3.414
Pt 0.000 0.000 8.755

12
Lattice="4.346 -6.283 0.000 4.346 6.283 0.000 -1.810 0.000 5.706" Properties=species:S:1:pos:R:3 comment="Ce4TlRe | the Alexandria database | PBE | optimized geometry" delta_e_f_ev_per_atom=-0.08 e_tot_ha_per_atom=-0.2392 sg="No. 15" n_ef_per_ev_fu=12.380 pbc="T T T"
Ce 1.604 3.948 5.266
Ce 1.159 1.260 3.734
Ce 4.373 3.948 3.294
Ce 2.064 -1.260 0.881
Ce 4.819 1.260 4.825
Ce 2.509 -3.948 2.412
Ce 5.724 -1.260 1.972
Ce 5.278 -3.948 0.441
Tl 3.894 1.347 1.427
Tl 2.989 -1.347 4.280
Re 3.894 6.233 1.427
Re 2.989 -6.233 4.280

6
Lattice="0.000 3.987 3.987 3.987 0.000 3.987 3.987 3.987 0.000" Properties=species:S:1:pos:R:3 comment="KPAu4 | the Alexandria database | PBE | optimized geometry" delta_e_f_ev_per_atom=0.16 e_tot_ha_per_atom=-0.1144 sg="No. 216" polymorph_energy_mev_per_atom=261 n_ef_per_ev_fu=2.160 pbc="T T T"
K 0.000 0.000 0.000
P 5.981 5.981 5.981
Au 2.991 2.991 2.991
Au 4.983 4.983 2.991
Au 4.983 2.991 4.983
Au 2.991 4.983 4.983

5
Lattice="3.866 0.000 0.000 0.000 3.866 0.000 0.000 0.000 5.297" Properties=species:S:1:pos:R:3 comment="GeBrO2F | the Alexandria database | PBE | optimized geometry" e_tot_ha_per_atom=-0.1268 sg="No. 123" formation_energy_uncorrected_ev_per_atom=0.164 n_ef_per_ev_fu=2.478 pbc="T T T"
Ge 0.000 0.000 0.000
Br 1.933 1.933 2.649
O 0.000 1.933 2.649
O 1.933 0.000 2.649
F 1.933 1.933 0.000